{
  "formula": "ErMnSnRu",
  "functional": "PBE",
  "state": "relaxed",
  "rho_g_cm3": 10.013,
  "e_tot_ev_per_atom": -6.97,
  "formation_enthalpy_0k_kj_per_mol_atoms": -20.86,
  "total_magnetization_mub_per_cell": 3.79,
  "dos_at_fermi_per_ev_atom": 0.6402,
  "cell": [[0.000, 3.322, 3.322], [3.322, 0.000, 3.322], [3.322, 3.322, 0.000]],
  "species": ["Er", "Mn", "Sn", "Ru"],
  "frac_coords": [[0.000, 0.000, 0.000], [0.250, 0.250, 0.250], [0.500, 0.500, 0.500], [0.750, 0.750, 0.750]]
}



{
  "formula": "KCd2Sb",
  "functional": "PBE",
  "state": "relaxed",
  "rho_g_cm3": 5.608,
  "e_tot_ev_per_atom": -1.81,
  "total_magnetization_mub_per_cell": 0.00,
  "dos_at_fermi_per_ev_atom": 0.1737,
  "formation_energy_uncorrected_ev_per_atom": -0.0456,
  "cell": [[0.000, 3.851, 3.851], [3.851, 0.000, 3.851], [3.851, 3.851, 0.000]],
  "species": ["K", "Cd", "Cd", "Sb"],
  "frac_coords": [[0.000, 0.000, 0.000], [0.500, 0.500, 0.500], [0.750, 0.750, 0.750], [0.250, 0.250, 0.250]]
}



{
  "formula": "Hf2Te2As",
  "functional": "PBE",
  "state": "relaxed",
  "rho_g_cm3": 9.939,
  "e_tot_ev_per_atom": -6.67,
  "total_magnetization_mub_per_cell": 0.00,
  "dos_at_fermi_per_ev_atom": 0.5995,
  "formation_energy_uncorrected_ev_per_atom": -0.5047,
  "cell": [[7.617, 0.000, 0.000], [0.000, 7.617, 0.000], [0.000, 0.000, 3.957]],
  "species": ["Hf", "Hf", "Hf", "Hf", "Te", "Te", "Te", "Te", "As", "As"],
  "frac_coords": [[0.150, 0.350, 0.000], [0.350, 0.850, 0.000], [0.650, 0.150, 0.000], [0.850, 0.650, 0.000], [0.146, 0.646, 0.500], [0.354, 0.146, 0.500], [0.646, 0.854, 0.500], [0.854, 0.354, 0.500], [0.000, 0.000, 0.000], [0.500, 0.500, 0.000]]
}



{
  "formula": "ZrBeGe3",
  "functional": "PBE",
  "state": "relaxed",
  "rho_g_cm3": 3.782,
  "e_tot_ev_per_atom": -4.25,
  "formation_enthalpy_0k_kj_per_mol_atoms": 94.17,
  "total_magnetization_mub_per_cell": 0.00,
  "dos_at_fermi_per_ev_atom": 0.5502,
  "cell": [[5.189, 0.000, 0.000], [0.000, 5.189, 0.000], [0.000, 0.000, 5.189]],
  "species": ["Zr", "Be", "Ge", "Ge", "Ge"],
  "frac_coords": [[0.000, 0.000, 0.000], [0.500, 0.500, 0.500], [0.000, 0.000, 0.500], [0.000, 0.500, 0.000], [0.500, 0.000, 0.000]]
}



{
  "formula": "AsI3F",
  "functional": "PBE",
  "state": "relaxed",
  "rho_g_cm3": 5.374,
  "e_tot_ev_per_atom": -1.65,
  "total_magnetization_mub_per_cell": 1.33,
  "dos_at_fermi_per_ev_atom": 1.8240,
  "formation_energy_uncorrected_ev_per_atom": 0.5795,
  "cell": [[5.274, 0.000, 0.000], [0.000, 5.274, 0.000], [0.000, 0.000, 5.274]],
  "species": ["As", "I", "I", "I", "F"],
  "frac_coords": [[0.000, 0.000, 0.000], [0.000, 0.500, 0.500], [0.500, 0.000, 0.500], [0.500, 0.500, 0.000], [0.500, 0.500, 0.500]]
}



{
  "formula": "FeHg2Ir",
  "functional": "PBE",
  "state": "relaxed",
  "rho_g_cm3": 15.584,
  "e_tot_ev_per_atom": -3.94,
  "formation_enthalpy_0k_kj_per_mol_atoms": 52.24,
  "total_magnetization_mub_per_cell": 3.07,
  "dos_at_fermi_per_ev_atom": 0.9275,
  "cell": [[2.847, -4.014, 0.000], [2.847, 4.014, 0.000], [0.000, 0.000, 3.026]],
  "species": ["Fe", "Hg", "Hg", "Ir"],
  "frac_coords": [[0.000, 0.000, 0.000], [0.000, 0.500, 0.500], [0.500, 0.000, 0.500], [0.500, 0.500, 0.000]]
}



{
  "formula": "Rb2BiOs",
  "functional": "PBE",
  "state": "relaxed",
  "rho_g_cm3": 4.142,
  "e_tot_ev_per_atom": -3.52,
  "formation_enthalpy_0k_kj_per_mol_atoms": 71.74,
  "total_magnetization_mub_per_cell": 1.53,
  "dos_at_fermi_per_ev_atom": 1.0667,
  "cell": [[-6.648, 6.648, 2.586], [6.648, -6.648, 2.586], [6.648, 6.648, -2.586]],
  "species": ["Rb", "Rb", "Rb", "Rb", "Bi", "Bi", "Os", "Os"],
  "frac_coords": [[0.375, 0.092, 0.217], [0.842, 0.625, 0.717], [0.875, 0.158, 0.783], [0.908, 0.125, 0.283], [0.250, 0.750, 0.500], [0.500, 0.500, 0.000], [0.000, 0.000, 0.000], [0.750, 0.250, 0.500]]
}



{
  "formula": "Rb2Pb4O7",
  "functional": "PBE",
  "state": "relaxed",
  "rho_g_cm3": 7.017,
  "e_tot_ev_per_atom": -5.10,
  "total_magnetization_mub_per_cell": 0.00,
  "formation_energy_uncorrected_ev_per_atom": -1.1373,
  "cell": [[6.803, 0.000, 0.000], [-0.007, 7.462, 0.000], [-1.700, -2.277, 10.365]],
  "species": ["Rb", "Rb", "Rb", "Rb", "Pb", "Pb", "Pb", "Pb", "Pb", "Pb", "Pb", "Pb", "O", "O", "O", "O", "O", "O", "O", "O", "O", "O", "O", "O", "O", "O"],
  "frac_coords": [[0.076, 0.328, 0.314], [0.419, 0.673, 0.689], [0.581, 0.327, 0.311], [0.924, 0.672, 0.686], [0.093, 0.850, 0.376], [0.240, 0.109, 0.961], [0.266, 0.667, 0.066], [0.404, 0.150, 0.623], [0.596, 0.850, 0.377], [0.734, 0.333, 0.934], [0.760, 0.891, 0.039], [0.907, 0.150, 0.624], [0.047, 0.850, 0.171], [0.149, 0.936, 0.595], [0.155, 0.339, 0.622], [0.227, 0.809, 0.906], [0.340, 0.658, 0.362], [0.353, 0.064, 0.406], [0.461, 0.152, 0.829], [0.539, 0.848, 0.171], [0.647, 0.936, 0.594], [0.660, 0.342, 0.638], [0.773, 0.191, 0.094], [0.845, 0.661, 0.378], [0.851, 0.064, 0.405], [0.953, 0.150, 0.829]]
}



Please write out number 3 again, unchanged.
{
  "formula": "Hf2Te2As",
  "functional": "PBE",
  "state": "relaxed",
  "rho_g_cm3": 9.939,
  "e_tot_ev_per_atom": -6.67,
  "total_magnetization_mub_per_cell": 0.00,
  "dos_at_fermi_per_ev_atom": 0.5995,
  "formation_energy_uncorrected_ev_per_atom": -0.5047,
  "cell": [[7.617, 0.000, 0.000], [0.000, 7.617, 0.000], [0.000, 0.000, 3.957]],
  "species": ["Hf", "Hf", "Hf", "Hf", "Te", "Te", "Te", "Te", "As", "As"],
  "frac_coords": [[0.150, 0.350, 0.000], [0.350, 0.850, 0.000], [0.650, 0.150, 0.000], [0.850, 0.650, 0.000], [0.146, 0.646, 0.500], [0.354, 0.146, 0.500], [0.646, 0.854, 0.500], [0.854, 0.354, 0.500], [0.000, 0.000, 0.000], [0.500, 0.500, 0.000]]
}